No. 1
First-principles (PBEsol) data for a geometry-optimized La5Cu structure, as listed in the Alexandria database.

abc: 6.415 6.415 8.646
angles: 109.70 109.70 33.03
Positions (direct):
La 0.000 0.000 0.000
La 0.022 0.022 0.426
La 0.297 0.297 0.146
La 0.327 0.327 0.586
La 0.659 0.659 0.784
Cu 0.669 0.669 0.302

distance to the lowest polymorph of the same formula: 19 meV per atom
DFT total energy: -31.1 eV/cell
symmetry: Cm, No. 8
formation energy from the elements: -0.03 eV/f.u.

=====

No. 2
First-principles (PBEsol) data for a geometry-optimized FeIrAu2 structure, as listed in the Alexandria database.

abc: 9.162 9.162 9.162
angles: 17.37 17.37 17.37
Positions (direct):
Fe 0.000 0.000 0.000
Ir 0.500 0.500 0.500
Au 0.254 0.254 0.254
Au 0.746 0.746 0.746

distance to the lowest polymorph of the same formula: 53 meV per atom
DFT total energy: -25.4 eV/cell
symmetry: R-3m, No. 166
formation energy from the elements: 1.19 eV/f.u.

=====

No. 3
First-principles (PBEsol) data for a geometry-optimized Li2InBi structure, as listed in the Alexandria database.

abc: 4.944 4.944 4.944
angles: 60.00 60.00 60.00
Positions (direct):
Li 0.250 0.250 0.250
Li 0.750 0.750 0.750
In 0.000 0.000 0.000
Bi 0.500 0.500 0.500

DFT total energy: -12.7 eV/cell
symmetry: Fm-3m, No. 225
formation energy from the elements: -1.51 eV/f.u.